1.
# Cr2GaFe2

A relaxed Cr2GaFe2 crystal (PBE, Alexandria).

Unit cell a=6.897 b=6.897 c=2.574 alpha=90.00 beta=90.00 gamma=90.00
Space group P4/mbm (No. 127)
One atom of each set of equivalent atoms:
Cr  0.119  0.381  0.000 x4
Ga  0.000  0.000  0.000 x2
Fe  0.171  0.671  0.500 x4

Properties
- Magnetic moment: 1.069 μB/f.u.
- Theoretical density: 7.74 Mg/m³



2.
# Cr2GaFe2

A relaxed Cr2GaFe2 crystal (PBE, Alexandria).

Unit cell a=6.767 b=6.767 c=2.615 alpha=90.00 beta=90.00 gamma=90.00
Space group P4/mbm (No. 127)
One atom of each set of equivalent atoms:
Cr  0.163  0.337  0.000 x4
Ga  0.000  0.000  0.500 x2
Fe  0.128  0.628  0.500 x4

Properties
- Magnetic moment: 0.000 μB/f.u.
- Theoretical density: 7.92 Mg/m³



Which of them is the most stable? Correct choice: 2.



1.
# Cr3FeH

A relaxed Cr3FeH crystal (PBE, Alexandria).

Unit cell a=4.181 b=4.181 c=4.181 alpha=90.00 beta=90.00 gamma=90.00
Space group Pm-3m (No. 221)
One atom of each set of equivalent atoms:
Cr  0.000  0.000  0.500 x3
Fe  0.000  0.000  0.000 x1
H  0.500  0.500  0.500 x1

Properties
- Magnetic moment: 0.000 μB/f.u.
- Theoretical density: 4.84 Mg/m³



2.
# Cr3FeH

A relaxed Cr3FeH crystal (PBE, Alexandria).

Unit cell a=3.634 b=3.634 c=3.634 alpha=90.00 beta=90.00 gamma=90.00
Space group Pm-3m (No. 221)
One atom of each set of equivalent atoms:
Cr  0.000  0.000  0.500 x3
Fe  0.500  0.500  0.500 x1
H  0.000  0.000  0.000 x1

Properties
- Magnetic moment: 1.146 μB/f.u.
- Theoretical density: 7.37 Mg/m³



Which of them is the most stable? Correct choice: 2.



1.
# CrFe3H

A relaxed CrFe3H crystal (PBE, Alexandria).

Unit cell a=4.221 b=4.221 c=4.221 alpha=90.00 beta=90.00 gamma=90.00
Space group Pm-3m (No. 221)
One atom of each set of equivalent atoms:
Cr  0.000  0.000  0.000 x1
Fe  0.000  0.000  0.500 x3
H  0.500  0.500  0.500 x1

Properties
- Magnetic moment: 4.581 μB/f.u.
- Theoretical density: 4.87 Mg/m³



2.
# CrFe3H

A relaxed CrFe3H crystal (PBE, Alexandria).

Unit cell a=2.790 b=4.125 c=8.552 alpha=80.67 beta=80.63 gamma=90.00
Space group P-1 (No. 2)
One atom of each set of equivalent atoms:
Cr  0.059  0.290  0.382 x2
Fe  0.182  0.871  0.137 x2
Fe  0.320  0.631  0.860 x2
Fe  0.439  0.208  0.623 x2
H  0.250  0.254  0.000 x2

Properties
- Magnetic moment: 6.175 μB/f.u.
- Theoretical density: 7.65 Mg/m³



Which of them is the most stable? Correct choice: 2.